No. 1
Ho6CdIn6 | the Alexandria database | PBE-GGA | optimized geometry; magnetization = 0.00 μB/cell; E_tot = -3.73 eV/atom; DFT formation energy = -0.280 eV per atom
1.0
6.310 0.000 0.000
-3.155 5.465 0.000
0.000 0.000 10.513
Ho Cd In
6 1 6
direct
0.000 0.000 0.181 Ho
0.000 0.000 0.819 Ho
0.333 0.667 0.000 Ho
0.333 0.667 0.500 Ho
0.667 0.333 0.000 Ho
0.667 0.333 0.500 Ho
0.000 0.000 0.500 Cd
0.000 0.500 0.250 In
0.000 0.500 0.750 In
0.500 0.000 0.250 In
0.500 0.000 0.750 In
0.500 0.500 0.250 In
0.500 0.500 0.750 In

No. 2
Ho11Cd4In9 | the Alexandria database | PBE-GGA | optimized geometry; magnetization = 0.00 μB/cell; E_tot = -3.66 eV/atom; DFT formation energy = -0.379 eV per atom
1.0
7.470 -11.165 0.000
7.470 11.165 0.000
0.000 0.000 3.737
Ho Cd In
11 4 9
direct
0.000 0.000 0.000 Ho
0.059 0.410 0.000 Ho
0.164 0.836 0.000 Ho
0.274 0.274 0.000 Ho
0.360 0.640 0.000 Ho
0.410 0.059 0.000 Ho
0.590 0.941 0.000 Ho
0.640 0.360 0.000 Ho
0.726 0.726 0.000 Ho
0.836 0.164 0.000 Ho
0.941 0.590 0.000 Ho
0.253 0.447 0.500 Cd
0.447 0.253 0.500 Cd
0.553 0.747 0.500 Cd
0.747 0.553 0.500 Cd
0.054 0.211 0.500 In
0.153 0.629 0.500 In
0.211 0.054 0.500 In
0.371 0.847 0.500 In
0.500 0.500 0.500 In
0.629 0.153 0.500 In
0.789 0.946 0.500 In
0.847 0.371 0.500 In
0.946 0.789 0.500 In

No. 3
HoCdIn3 | the Alexandria database | PBE-GGA | optimized geometry; magnetization = 0.00 μB/cell; E_tot = -2.78 eV/atom; DFT formation energy = -0.041 eV per atom
1.0
4.696 -5.549 0.000
4.696 5.549 0.000
0.000 0.000 5.659
Ho Cd In
2 2 6
direct
0.235 0.765 0.750 Ho
0.765 0.235 0.250 Ho
0.053 0.947 0.250 Cd
0.947 0.053 0.750 Cd
0.126 0.528 0.250 In
0.472 0.874 0.250 In
0.500 0.500 0.000 In
0.500 0.500 0.500 In
0.528 0.126 0.750 In
0.874 0.472 0.750 In

No. 4
Ho4CdIn2 | the Alexandria database | PBE-GGA | optimized geometry; energy relative to the lowest polymorph listed for this composition = 0.00 eV/f.u.; magnetization = 0.00 μB/cell; E_tot = -3.81 eV/atom; DFT formation energy = -0.276 eV per atom
1.0
2.614 1.509 8.452
-2.614 1.509 8.452
0.000 -3.018 8.452
Ho Cd In
4 1 2
direct
0.120 0.120 0.120 Ho
0.372 0.372 0.372 Ho
0.628 0.628 0.628 Ho
0.880 0.880 0.880 Ho
0.500 0.500 0.500 Cd
0.249 0.249 0.249 In
0.751 0.751 0.751 In